Tm2Ni6Ge: optimized geometry, PBE-GGA.

Unit cell a=8.9202 b=5.2338 c=5.7157 alpha=90.00 beta=103.56 gamma=90.00
Closest atoms and distances in Å follow each position.
Space group C2/m (No. 12)
Symmetry-distinct sites (fractional):
Tm 0.1437 0.0000 0.3398 x4  7 Ni 2.75-3.05
Ni 0.1209 0.5000 0.1771 x4  1 Ge 2.35, 5 Ni 2.44-2.59
Ni 0.1361 0.2378 0.8312 x8  1 Ge 2.42, 5 Ni 2.44-2.66
Ge 0.0000 0.5000 0.5000 x2  6 Ni 2.35-2.42

* calculated volume: 14.41 Å³/atom
* energy of formation: -0.48 eV per atom
* energy above the lowest structure with this stoichiometry: 0 meV/atom